{"formula": "NaLiB", "functional": "GGA-PBE", "state": "relaxed", "e_form_ev_per_atom": 0.3426, "cell": [[3.898, -2.252, 0.000], [3.898, 2.252, 0.000], [-2.574, 0.000, 5.503]], "species": ["Na", "Na", "Li", "Li", "B", "B"], "frac_coords": [[0.000, 0.000, 0.000], [0.575, 0.575, 0.724], [0.170, 0.170, 0.503], [0.751, 0.751, 0.251], [0.320, 0.320, 0.960], [0.413, 0.413, 0.240]]}

***

{"formula": "NaLiB2", "functional": "GGA-PBE", "state": "relaxed", "e_form_ev_per_atom": 1.3649, "cell": [[0.000, 2.892, 2.892], [2.892, 0.000, 2.892], [2.892, 2.892, 0.000]], "species": ["Na", "Li", "B", "B"], "frac_coords": [[0.000, 0.000, 0.000], [0.500, 0.500, 0.500], [0.250, 0.250, 0.250], [0.750, 0.750, 0.750]]}

***

{"formula": "NaLiB", "functional": "GGA-PBE", "state": "relaxed", "e_form_ev_per_atom": 0.3131, "cell": [[4.469, 0.000, 0.000], [-0.313, 5.271, 0.000], [-0.404, -1.693, 4.998]], "species": ["Na", "Na", "Li", "Li", "B", "B"], "frac_coords": [[0.004, 0.310, 0.192], [0.996, 0.690, 0.808], [0.445, 0.190, 0.694], [0.555, 0.810, 0.306], [0.067, 0.891, 0.391], [0.933, 0.109, 0.609]]}

***

{"formula": "NaLiB", "functional": "GGA-PBE", "state": "relaxed", "e_form_ev_per_atom": 0.2790, "cell": [[2.108, 1.217, 6.145], [-2.108, 1.217, 6.145], [0.000, -2.434, 6.145]], "species": ["Na", "Na", "Li", "Li", "B", "B"], "frac_coords": [[0.211, 0.211, 0.211], [0.789, 0.789, 0.789], [0.362, 0.362, 0.362], [0.638, 0.638, 0.638], [0.042, 0.042, 0.042], [0.958, 0.958, 0.958]]}

***

Computed distance to the lowest polymorph of the same formula (meV/atom) in order:
64; 884; 34; 0
Computed total energy (eV/atom) in order:
-2.96; -2.78; -2.99; -3.02